1.
Entry from the Alexandria database: a relaxed structure of TaHRu3 (PBE).

D(E_F) ... 0.809 states/eV per atom
E above lowest polymorph ... 46 meV per atom

Cell lengths 4.4675, 5.6068, 4.9092 Å; angles 90.00, 90.45, 90.00 degrees
Last column: nearest neighbours and their distance in Å.
Atoms (fractional coordinates):
Ta (0.2362, 0.2500, 0.3526)  1 H 2.09
Ta (0.7638, 0.7500, 0.6474)  1 H 2.09
H (0.4970, 0.7500, 0.9952)  5 Ru 1.96-2.01, 1 Ta 2.09
H (0.5030, 0.2500, 0.0048)  5 Ru 1.96-2.01, 1 Ta 2.09
Ru (0.2459, 0.0004, 0.8320)  2 H 1.96-2.00
Ru (0.2459, 0.4996, 0.8320)  2 H 1.96-2.00
Ru (0.2471, 0.7500, 0.3331)  1 H 2.01
Ru (0.7529, 0.2500, 0.6669)  1 H 2.01
Ru (0.7541, 0.9996, 0.1680)  2 H 1.96-2.00
Ru (0.7541, 0.5004, 0.1680)  2 H 1.96-2.00

---

2.
Entry from the Alexandria database: a relaxed structure of TaHRu3 (PBE).

D(E_F) ... 0.663 states/eV per atom
E above lowest polymorph ... 42 meV per atom

Cell lengths 4.8530, 4.8530, 5.5559 Å; angles 90.00, 90.00, 110.10 degrees
Last column: nearest neighbours and their distance in Å.
Atoms (fractional coordinates):
Ta (0.2406, 0.7594, 0.7500)  1 H 2.16
Ta (0.7594, 0.2406, 0.2500)  1 H 2.16
H (0.4877, 0.5123, 0.2500)  5 Ru 1.95-1.98, 1 Ta 2.16
H (0.5123, 0.4877, 0.7500)  5 Ru 1.95-1.98, 1 Ta 2.16
Ru (0.2429, 0.7571, 0.2500)  1 H 1.95
Ru (0.2458, 0.2458, 0.0000)  2 H 1.98
Ru (0.2458, 0.2458, 0.5000)  2 H 1.98
Ru (0.7542, 0.7542, 0.0000)  2 H 1.98
Ru (0.7542, 0.7542, 0.5000)  2 H 1.98
Ru (0.7571, 0.2429, 0.7500)  1 H 1.95

---

3.
Entry from the Alexandria database: a relaxed structure of TaHRu3 (PBE).

D(E_F) ... 0.599 states/eV per atom
E above lowest polymorph ... 34 meV per atom

Cell lengths 5.2790, 5.3426, 5.5559 Å; angles 105.99, 105.02, 115.17 degrees
Last column: nearest neighbours and their distance in Å.
Atoms (fractional coordinates):
Ta (0.0000, 0.0000, 0.0000)  2 H 2.09-2.19
Ta (0.4929, 0.9575, 0.3956)  2 H 2.07-2.11
H (0.2339, 0.4812, 0.1901)  4 Ru 1.90-2.03, 2 Ta 2.07-2.09
H (0.5076, 0.2383, 0.1891)  4 Ru 1.88-1.97
Ru (0.0414, 0.0177, 0.5148)  4 Ta 2.65-2.78, 8 Ru 2.72-2.90
Ru (0.4525, 0.9399, 0.8700)  1 H 1.88
Ru (0.5348, 0.5167, 0.5247)  2 H 1.97-2.01
Ru (0.5400, 0.5215, 0.0223)  2 H 1.95-2.03
Ru (0.9584, 0.4508, 0.8683)  1 H 1.90
Ru (0.9602, 0.4502, 0.3682)  2 H 1.93-1.96

---

4.
Entry from the Alexandria database: a relaxed structure of TaHRu3 (PBE).

D(E_F) ... 0.886 states/eV per atom
E above lowest polymorph ... 296 meV per atom

Cell lengths 7.1140, 7.1140, 5.5889 Å; angles 101.75, 101.75, 73.19 degrees
Last column: nearest neighbours and their distance in Å.
Atoms (fractional coordinates):
Ta (0.0657, 0.9343, 0.7500)  2 H 2.43, 4 Ru 2.57-2.62
Ta (0.2924, 0.7076, 0.2500)  2 H 2.15
Ta (0.7076, 0.2924, 0.7500)  2 H 2.15
Ta (0.9343, 0.0657, 0.2500)  2 H 2.43, 4 Ru 2.57-2.62
H (0.2288, 0.6056, 0.8596)  2 Ru 1.83-1.84
H (0.3944, 0.7712, 0.6404)  2 Ru 1.83-1.84
H (0.6056, 0.2288, 0.3596)  2 Ru 1.83-1.84
H (0.7712, 0.3944, 0.1404)  2 Ru 1.83-1.84
Ru (0.0295, 0.3319, 0.0836)  1 H 1.84
Ru (0.0366, 0.3426, 0.5974)  7 Ru 2.56-2.85, 2 Ta 2.62-2.79, 1 H 2.66
Ru (0.3319, 0.0295, 0.5836)  1 H 1.84
Ru (0.3426, 0.0366, 0.0974)  7 Ru 2.56-2.85, 2 Ta 2.62-2.79, 1 H 2.66
Ru (0.3587, 0.3695, 0.4304)  1 H 1.83
Ru (0.3695, 0.3587, 0.9304)  1 H 1.83
Ru (0.6305, 0.6413, 0.0696)  1 H 1.83
Ru (0.6413, 0.6305, 0.5696)  1 H 1.83
Ru (0.6574, 0.9634, 0.9026)  7 Ru 2.56-2.85, 2 Ta 2.62-2.79, 1 H 2.66
Ru (0.6681, 0.9705, 0.4164)  1 H 1.84
Ru (0.9634, 0.6574, 0.4026)  7 Ru 2.56-2.85, 2 Ta 2.62-2.79, 1 H 2.66
Ru (0.9705, 0.6681, 0.9164)  1 H 1.84

---

5.
Entry from the Alexandria database: a relaxed structure of TaHRu3 (PBE).

D(E_F) ... 0.802 states/eV per atom
E above lowest polymorph ... 408 meV per atom

Cell lengths 5.0892, 7.0466, 7.3416 Å; angles 90.00, 90.00, 90.00 degrees
Last column: nearest neighbours and their distance in Å.
Atoms (fractional coordinates):
Ta (0.0000, 0.0000, 0.0000)  2 H 2.24
Ta (0.0000, 0.5000, 0.0000)  2 H 2.24
Ta (0.5000, 0.0000, 0.5000)  2 H 2.24
Ta (0.5000, 0.5000, 0.5000)  2 H 2.24
H (0.2424, 0.2500, 0.4397)  1 Ru 1.75
H (0.2576, 0.7500, 0.9397)  1 Ru 1.75
H (0.7424, 0.2500, 0.0603)  1 Ru 1.75
H (0.7576, 0.7500, 0.5603)  1 Ru 1.75
Ru (0.0367, 0.5811, 0.3464)  3 Ru 2.38-2.67, 2 H 2.43-2.65, 1 Ta 2.61
Ru (0.0367, 0.9189, 0.3464)  3 Ru 2.38-2.67, 2 H 2.43-2.65, 1 Ta 2.61
Ru (0.2063, 0.7500, 0.7034)  1 H 1.75
Ru (0.2937, 0.2500, 0.2034)  1 H 1.75
Ru (0.4633, 0.0811, 0.8464)  3 Ru 2.38-2.67, 2 H 2.43-2.65, 1 Ta 2.61
Ru (0.4633, 0.4189, 0.8464)  3 Ru 2.38-2.67, 2 H 2.43-2.65, 1 Ta 2.61
Ru (0.5367, 0.5811, 0.1536)  3 Ru 2.38-2.67, 2 H 2.43-2.65, 1 Ta 2.61
Ru (0.5367, 0.9189, 0.1536)  3 Ru 2.38-2.67, 2 H 2.43-2.65, 1 Ta 2.61
Ru (0.7063, 0.7500, 0.7966)  1 H 1.75
Ru (0.7937, 0.2500, 0.2966)  1 H 1.75
Ru (0.9633, 0.0811, 0.6536)  3 Ru 2.38-2.67, 2 H 2.43-2.65, 1 Ta 2.61
Ru (0.9633, 0.4189, 0.6536)  3 Ru 2.38-2.67, 2 H 2.43-2.65, 1 Ta 2.61

---

6.
Entry from the Alexandria database: a relaxed structure of TaHRu3 (PBE).

D(E_F) ... 0.974 states/eV per atom
E above lowest polymorph ... 1062 meV per atom

Cell lengths 3.7561, 3.7561, 6.0388 Å; angles 90.00, 90.00, 90.00 degrees
Last column: nearest neighbours and their distance in Å.
Atoms (fractional coordinates):
Ta (0.0000, 0.0000, 0.0000)  5 Ru 2.41-2.60
H (0.5000, 0.5000, 0.3668)  4 Ru 1.92
Ru (0.0000, 0.0000, 0.6006)  1 Ta 2.41, 4 Ru 2.63
Ru (0.0000, 0.5000, 0.2969)  2 H 1.92
Ru (0.5000, 0.0000, 0.2969)  2 H 1.92

---

7.
Entry from the Alexandria database: a relaxed structure of TaHRu3 (PBE).

D(E_F) ... 1.247 states/eV per atom
E above lowest polymorph ... 587 meV per atom

Cell lengths 6.0920, 6.0920, 6.0920 Å; angles 129.02, 129.02, 74.97 degrees
Last column: nearest neighbours and their distance in Å.
Atoms (fractional coordinates):
Ta (0.1501, 0.1501, 0.0000)  4 Ru 2.57-2.63, 2 H 2.79
Ta (0.8499, 0.8499, 0.0000)  4 Ru 2.57-2.63, 2 H 2.79
H (0.5000, 0.5000, 0.0000)  4 Ru 1.78
H (0.7500, 0.2500, 0.5000)  4 Ru 1.79
Ru (0.1245, 0.3781, 0.7464)  2 H 1.78-1.79
Ru (0.1264, 0.6264, 0.5000)  1 Ru 2.39, 2 Ta 2.63
Ru (0.3736, 0.8736, 0.5000)  1 Ru 2.39, 2 Ta 2.63
Ru (0.6219, 0.3683, 0.7464)  2 H 1.78-1.79
Ru (0.6219, 0.8755, 0.2536)  2 H 1.78-1.79
Ru (0.6317, 0.3781, 0.2536)  2 H 1.78-1.79

---

8.
Entry from the Alexandria database: a relaxed structure of TaH2Ru (PBE).

D(E_F) ... 0.492 states/eV per atom
E above lowest polymorph ... 103 meV per atom

Cell lengths 5.2655, 5.2655, 5.2655 Å; angles 133.07, 133.07, 68.54 degrees
Last column: nearest neighbours and their distance in Å.
Atoms (fractional coordinates):
Ta (0.0000, 0.0000, 0.0000)  4 H 1.91
Ta (0.7500, 0.2500, 0.5000)  4 H 1.91
H (0.1520, 0.6250, 0.0270)  2 Ru 1.78, 2 Ta 1.91
H (0.3750, 0.4020, 0.5270)  2 Ru 1.78, 2 Ta 1.91
H (0.5980, 0.1250, 0.9730)  2 Ru 1.78, 2 Ta 1.91
H (0.8750, 0.8480, 0.4730)  2 Ru 1.78, 2 Ta 1.91
Ru (0.2500, 0.7500, 0.5000)  4 H 1.78
Ru (0.5000, 0.5000, 0.0000)  4 H 1.78

---

9.
Entry from the Alexandria database: a relaxed structure of TaHRu3 (PBE).

D(E_F) ... 0.518 states/eV per atom
E above lowest polymorph ... 46 meV per atom

Cell lengths 4.8782, 5.3010, 5.6009 Å; angles 105.08, 90.06, 117.18 degrees
Last column: nearest neighbours and their distance in Å.
Atoms (fractional coordinates):
Ta (0.0000, 0.0000, 0.0000)  2 H 2.12
Ta (0.4637, 0.5673, 0.4052)  1 H 2.18
H (0.9619, 0.2781, 0.3332)  4 Ru 1.93-2.00, 1 Ta 2.12
H (0.9633, 0.2932, 0.8217)  5 Ru 1.89-2.04
Ru (0.0233, 0.0350, 0.5097)  2 H 1.93-2.03
Ru (0.4373, 0.5353, 0.9015)  1 H 2.04
Ru (0.5042, 0.0305, 0.2679)  1 H 1.98
Ru (0.5159, 0.0450, 0.7682)  1 H 1.94
Ru (0.9279, 0.5324, 0.6380)  2 H 1.89-1.94
Ru (0.9372, 0.5372, 0.1406)  2 H 1.96-2.00

---

10.
Entry from the Alexandria database: a relaxed structure of TaHRu3 (PBE).

D(E_F) ... 0.662 states/eV per atom
E above lowest polymorph ... 169 meV per atom

Cell lengths 4.8848, 4.8848, 7.9565 Å; angles 114.14, 114.14, 47.00 degrees
Last column: nearest neighbours and their distance in Å.
Atoms (fractional coordinates):
Ta (0.1162, 0.1162, 0.4223)  9 Ru 2.70-2.88, 3 Ta 2.86-2.90
Ta (0.8838, 0.8838, 0.5777)  9 Ru 2.70-2.88, 3 Ta 2.86-2.90
H (0.3974, 0.3974, 0.0696)  6 Ru 1.92-2.14
H (0.6026, 0.6026, 0.9304)  6 Ru 1.92-2.14
Ru (0.1304, 0.1304, 0.9400)  3 H 1.96-2.14
Ru (0.3638, 0.3638, 0.8018)  2 H 1.92-2.01
Ru (0.3742, 0.3742, 0.3057)  1 H 1.98
Ru (0.6258, 0.6258, 0.6943)  1 H 1.98
Ru (0.6362, 0.6362, 0.1982)  2 H 1.92-2.01
Ru (0.8696, 0.8696, 0.0600)  3 H 1.96-2.14

---

11.
Entry from the Alexandria database: a relaxed structure of TaHRu2 (PBE).

D(E_F) ... 1.042 states/eV per atom
E above lowest polymorph ... 37 meV per atom

Cell lengths 6.9911, 6.9911, 6.9911 Å; angles 23.63, 23.63, 23.63 degrees
Last column: nearest neighbours and their distance in Å.
Atoms (fractional coordinates):
Ta (0.0000, 0.0000, 0.0000)  6 Ru 2.79, 6 Ta 2.86
H (0.5000, 0.5000, 0.5000)  6 Ru 2.01
Ru (0.2232, 0.2232, 0.2232)  3 H 2.01
Ru (0.7768, 0.7768, 0.7768)  3 H 2.01

---

12.
Entry from the Alexandria database: a relaxed structure of TaHRu2 (PBE).

D(E_F) ... 0.666 states/eV per atom
E above lowest polymorph ... 0 meV per atom

Cell lengths 5.6392, 5.6392, 4.4263 Å; angles 90.00, 90.00, 134.11 degrees
Last column: nearest neighbours and their distance in Å.
Atoms (fractional coordinates):
Ta (0.0000, 0.5000, 0.0000)  8 Ru 2.66-2.68
Ta (0.5000, 0.0000, 0.5000)  8 Ru 2.66-2.68
H (0.0000, 0.0000, 0.2500)  4 Ru 1.90
H (0.0000, 0.0000, 0.7500)  4 Ru 1.90
Ru (0.1468, 0.3560, 0.5000)  2 H 1.90
Ru (0.3560, 0.1468, 0.0000)  2 H 1.90
Ru (0.6440, 0.8532, 0.0000)  2 H 1.90
Ru (0.8532, 0.6440, 0.5000)  2 H 1.90